Entry 1:
Computed, not measured: a geometry-optimized TcMo2Pd structure at the GGA-PBE level of DFT.

Geometry as CIF:
```
data_TcMo2Pd
_chemical_formula_sum 'Tc4 Mo8 Pd4'
_cell_length_a 7.0496
_cell_length_b 7.0496
_cell_length_c 5.4054
_cell_angle_alpha 90.00
_cell_angle_beta 90.00
_cell_angle_gamma 90.00
_symmetry_space_group_name_H-M 'I -4 2 d'
_symmetry_Int_Tables_number 122
_symmetry_space_group_name_Hall 'I -4 2bw'
loop_
_atom_site_label
_atom_site_type_symbol
_atom_site_fract_x
_atom_site_fract_y
_atom_site_fract_z
Tc1 Tc 0.0000 0.0000 0.0000
Mo1 Mo 0.2281 0.2500 0.1250
Pd1 Pd 0.0000 0.0000 0.5000
```

Values from the calculation:
Spin magnetization (μB/f.u.): 0.0
ΔE_f (eV per atom): 0.65

Entry 2:
Computed, not measured: a geometry-optimized TlSn2Pb2 structure at the GGA-PBE level of DFT.

Geometry as CIF:
```
data_TlSn2Pb2
_chemical_formula_sum 'Tl2 Sn4 Pb4'
_cell_length_a 5.0163
_cell_length_b 5.0163
_cell_length_c 13.6407
_cell_angle_alpha 90.00
_cell_angle_beta 90.00
_cell_angle_gamma 90.00
_symmetry_space_group_name_H-M 'I 4/m m m'
_symmetry_Int_Tables_number 139
_symmetry_space_group_name_Hall '-I 4 2'
loop_
_atom_site_label
_atom_site_type_symbol
_atom_site_fract_x
_atom_site_fract_y
_atom_site_fract_z
Tl1 Tl 0.0000 0.0000 0.0000
Sn1 Sn 0.0000 0.0000 0.3928
Pb1 Pb 0.0000 0.5000 0.2500
```

Values from the calculation:
Spin magnetization (μB/f.u.): 0.0
ΔE_f (eV per atom): 0.09

Entry 3:
Computed, not measured: a geometry-optimized Nd3Cd4Ag4 structure at the GGA-PBE level of DFT.

Geometry as CIF:
```
data_Nd3Cd4Ag4
_chemical_formula_sum 'Nd6 Cd8 Ag8'
_cell_length_a 4.3927
_cell_length_b 8.0335
_cell_length_c 15.3181
_cell_angle_alpha 90.00
_cell_angle_beta 90.00
_cell_angle_gamma 90.00
_symmetry_space_group_name_H-M 'I m m m'
_symmetry_Int_Tables_number 71
_symmetry_space_group_name_Hall '-I 2 2'
loop_
_atom_site_label
_atom_site_type_symbol
_atom_site_fract_x
_atom_site_fract_y
_atom_site_fract_z
Nd1 Nd 0.0000 0.0000 0.0000
Nd2 Nd 0.0000 0.5000 0.1238
Cd1 Cd 0.0000 0.3050 0.3293
Ag1 Ag 0.0000 0.0000 0.2232
Ag2 Ag 0.0000 0.1825 0.5000
```

Values from the calculation:
Spin magnetization (μB/f.u.): 0.0
ΔE_f (eV per atom): -0.24

Entry 4:
Computed, not measured: a geometry-optimized Ba2MgBr structure at the GGA-PBE level of DFT.

Geometry as CIF:
```
data_Ba2MgBr
_chemical_formula_sum 'Ba6 Mg3 Br3'
_cell_length_a 4.5072
_cell_length_b 4.5072
_cell_length_c 29.7670
_cell_angle_alpha 90.00
_cell_angle_beta 90.00
_cell_angle_gamma 120.00
_symmetry_space_group_name_H-M 'R 3 m'
_symmetry_Int_Tables_number 160
_symmetry_space_group_name_Hall 'R 3 -2"'
loop_
_atom_site_label
_atom_site_type_symbol
_atom_site_fract_x
_atom_site_fract_y
_atom_site_fract_z
Ba1 Ba 0.0000 0.0000 0.0000
Ba2 Ba 0.0000 0.0000 0.1612
Mg1 Mg 0.0000 0.0000 0.5807
Br1 Br 0.0000 0.0000 0.4131
```

Values from the calculation:
Formation energy from raw total energies (eV per formula unit): -2.803
Spin magnetization (μB/f.u.): 0.3

Entry 5:
Computed, not measured: a geometry-optimized CaSmTlAu structure at the GGA-PBE level of DFT.

Geometry as CIF:
```
data_CaSmTlAu
_chemical_formula_sum 'Ca4 Sm4 Tl4 Au4'
_cell_length_a 7.5133
_cell_length_b 7.5133
_cell_length_c 7.5133
_cell_angle_alpha 90.00
_cell_angle_beta 90.00
_cell_angle_gamma 90.00
_symmetry_space_group_name_H-M 'F -4 3 m'
_symmetry_Int_Tables_number 216
_symmetry_space_group_name_Hall 'F -4 2 3'
loop_
_atom_site_label
_atom_site_type_symbol
_atom_site_fract_x
_atom_site_fract_y
_atom_site_fract_z
Ca1 Ca 0.0000 0.0000 0.0000
Sm1 Sm 0.0000 0.0000 0.5000
Tl1 Tl 0.2500 0.2500 0.2500
Au1 Au 0.2500 0.2500 0.7500
```

Values from the calculation:
Spin magnetization (μB/f.u.): 0.0
ΔE_f (eV per atom): -0.58

Entry 6:
Computed, not measured: a geometry-optimized LaZn4Pt2 structure at the GGA-PBE level of DFT.

Geometry as CIF:
```
data_LaZn4Pt2
_chemical_formula_sum 'La2 Zn8 Pt4'
_cell_length_a 4.1485
_cell_length_b 15.3087
_cell_length_c 4.0920
_cell_angle_alpha 90.00
_cell_angle_beta 90.00
_cell_angle_gamma 90.00
_symmetry_space_group_name_H-M 'C m m m'
_symmetry_Int_Tables_number 65
_symmetry_space_group_name_Hall '-C 2 2'
loop_
_atom_site_label
_atom_site_type_symbol
_atom_site_fract_x
_atom_site_fract_y
_atom_site_fract_z
La1 La 0.0000 0.0000 0.0000
Zn1 Zn 0.0000 0.1908 0.5000
Zn2 Zn 0.0000 0.3092 0.0000
Pt1 Pt 0.0000 0.4127 0.5000
```

Values from the calculation:
Spin magnetization (μB/f.u.): 0.0
ΔE_f (eV per atom): -0.59

spin magnetization of number 5 (CaSmTlAu)? 0.0 μB/f.u.